[1]
# PBE ZnCr2Pb, optimized geometry
data_ZnCr2Pb
_cell_length_a 3.250
_cell_length_b 3.288
_cell_length_c 6.937
_cell_angle_alpha 90.00
_cell_angle_beta 90.00
_cell_angle_gamma 90.00
_space_group_name_H-M_alt 'P m m m'
_space_group_IT_number 47
_space_group_name_Hall '-P 2 2'
loop_
_atom_site_label
_atom_site_type_symbol
_atom_site_fract_x
_atom_site_fract_y
_atom_site_fract_z
Zn1 Zn 0.000 0.000 0.000
Cr1 Cr 0.500 0.500 0.211
Pb1 Pb 0.000 0.000 0.500
# Energy relative to the elements ... 200 kJ/mol of formula units

***

[2]
# PBE PmErNi3, optimized geometry
data_PmErNi3
_cell_length_a 3.895
_cell_length_b 24.126
_cell_length_c 3.995
_cell_angle_alpha 90.00
_cell_angle_beta 90.00
_cell_angle_gamma 90.00
_space_group_name_H-M_alt 'C m c m'
_space_group_IT_number 63
_space_group_name_Hall '-C 2c 2'
loop_
_atom_site_label
_atom_site_type_symbol
_atom_site_fract_x
_atom_site_fract_y
_atom_site_fract_z
Pm1 Pm 0.000 0.072 0.250
Er1 Er 0.000 0.205 0.750
Ni1 Ni 0.000 0.323 0.750
Ni2 Ni 0.000 0.378 0.250
Ni3 Ni 0.000 0.475 0.250
# Energy relative to the elements ... -193 kJ/mol of formula units

***

[3]
# PBE MoP2Br, optimized geometry
data_MoP2Br
_cell_length_a 7.711
_cell_length_b 3.005
_cell_length_c 7.956
_cell_angle_alpha 90.00
_cell_angle_beta 111.66
_cell_angle_gamma 90.00
_space_group_name_H-M_alt 'C 1 2/m 1'
_space_group_IT_number 12
_space_group_name_Hall '-C 2y'
loop_
_atom_site_label
_atom_site_type_symbol
_atom_site_fract_x
_atom_site_fract_y
_atom_site_fract_z
Mo1 Mo 0.000 0.000 0.000
P1 P 0.152 0.500 0.853
Br1 Br 0.000 0.500 0.500
# Relative energy among the computed polymorphs ... 0.721 eV/f.u.
# Energy relative to the elements, uncorrected ... 0.26 eV/f.u.

***

Number 1: calculated volume 18.528 A^3/atom. Number 2: calculated volume 18.773 A^3/atom. Number 3: calculated volume 21.418 A^3/atom.